(1)
# Pm2ErPuN4 (PBE-GGA, relaxed)
data_Pm2ErPuN4
_space_group_name_H-M_alt 'P 1 2/m 1'
_space_group_IT_number 10
_space_group_name_Hall '-P 2y'
_cell_length_a 6.0773
_cell_length_b 3.5306
_cell_length_c 6.1062
_cell_angle_alpha 90.00
_cell_angle_beta 109.23
_cell_angle_gamma 90.00
loop_
_atom_site_label
_atom_site_fract_x
_atom_site_fract_y
_atom_site_fract_z
Pm1 0.0000 0.0000 0.0000
Pm2 0.5000 0.5000 0.0000
Er1 0.0000 0.5000 0.5000
Pu1 0.5000 0.0000 0.5000
N1 0.2495 0.0000 0.7328
N2 0.2605 0.5000 0.2705
# formation energy without anion corrections: -1.469 eV per atom
# DOS(E_F): 7.4 states/eV/cell
# magnetization: 4.60 μB per formula unit

(2)
# Pm3Er2PuN6 (PBE-GGA, relaxed)
data_Pm3Er2PuN6
_space_group_name_H-M_alt 'C 1 2/m 1'
_space_group_IT_number 12
_space_group_name_Hall '-C 2y'
_cell_length_a 6.0851
_cell_length_b 10.5308
_cell_length_c 6.1168
_cell_angle_alpha 90.00
_cell_angle_beta 109.39
_cell_angle_gamma 90.00
loop_
_atom_site_label
_atom_site_fract_x
_atom_site_fract_y
_atom_site_fract_z
Pm1 0.0000 0.0000 0.0000
Pm2 0.0000 0.3326 0.0000
Er1 0.0000 0.1664 0.5000
Pu1 0.0000 0.5000 0.5000
N1 0.2399 0.3374 0.7323
N2 0.2483 0.5000 0.2672
# formation energy without anion corrections: -1.510 eV per atom
# DOS(E_F): 12.7 states/eV/cell
# magnetization: 4.33 μB per formula unit